Record 1
BeP2Au after structural relaxation. Source: Alexandria via LeMat-Bulk, functional PBE.

a = 3.2378 Å, b = 3.2378 Å, c = 20.0086 Å
α = 90.00°, β = 90.00°, γ = 120.00°
Space group R3m (No. 160, hexagonal axes)
One atom of each set of equivalent atoms:
Be  0.0000  0.0000  0.0000
P  0.0000  0.0000  0.2480
P  0.0000  0.0000  0.5151
Au  0.0000  0.0000  0.7390

uncorrected energy = -51.8 eV per cell
formation enthalpy at 0 K = 0.6 eV per formula unit

=====

Record 2
BeP2Au after structural relaxation. Source: Alexandria via LeMat-Bulk, functional PBE.

a = 4.7878 Å, b = 9.8663 Å, c = 3.3733 Å
α = 90.00°, β = 132.73°, γ = 90.00°
Space group C2/m (No. 12)
One atom of each set of equivalent atoms:
Be  0.0000  0.0000  0.0000
P  0.2500  0.2500  0.0000
Au  0.0000  0.5000  0.0000

uncorrected energy = -33.3 eV per cell
formation enthalpy at 0 K = 1.2 eV per formula unit

=====

Record 3
BePAu4 after structural relaxation. Source: Alexandria via LeMat-Bulk, functional PBE.

a = 7.7038 Å, b = 7.7038 Å, c = 7.7038 Å
α = 90.00°, β = 90.00°, γ = 90.00°
Space group F-43m (No. 216)
One atom of each set of equivalent atoms:
Be  0.0000  0.0000  0.0000
P  0.2500  0.2500  0.7500
Au  0.1253  0.1253  0.3747

uncorrected energy = -73.5 eV per cell
formation enthalpy at 0 K = 3.9 eV per formula unit

=====

Q: Which of these has the lowest formation enthalpy at 0 K?
A: number 1

=====

Q: The lowest uncorrected energy belongs to which entry?
A: BePAu4

=====

Q: What is the uncorrected energy in the second record?
A: -33.3 eV per cell